Entry 1:
Below is an optimized crystal structure of Nd2YErP4, with properties calculated at the PBE level.

Electronic total energy, eV for the cell shown: -54.8
Space group: P2/m, No. 10
Energy of formation from the pure elements, eV/atom: -1.571

```
8
Lattice="-1.548 -3.701 0.763 -0.078 -1.396 -6.929 6.187 -2.023 2.740" Properties=species:S:1:pos:R:3 pbc="T T T"
P 3.869 -4.437 -2.746
P 1.421 -1.523 -4.507
P 0.691 -2.682 -0.680
P 4.688 -1.895 0.318
Nd 2.319 -2.862 1.752
Nd 3.054 -1.709 -2.094
Y 0.000 0.000 0.000
Er -0.813 -2.548 -3.083
```



Entry 2:
Below is an optimized crystal structure of Hg3RuSe, with properties calculated at the PBE level.

Excess energy over the best structure of this formula in the dataset, eV per atom: 0.484
Electronic total energy, eV for the cell shown: -7.5
Space group: Pm-3m, No. 221

```
5
Lattice="5.384 0.000 0.000 0.000 5.384 0.000 0.000 0.000 5.384" Properties=species:S:1:pos:R:3 pbc="T T T"
Hg 2.692 0.000 0.000
Hg 0.000 0.000 2.692
Hg 0.000 2.692 0.000
Ru 2.692 2.692 2.692
Se 0.000 0.000 0.000
```



Entry 3:
Below is an optimized crystal structure of Zn2InNi, with properties calculated at the PBE level.

Electronic total energy, eV for the cell shown: -21.0
Space group: I-42d, No. 122
Energy of formation from the pure elements, eV/atom: 0.139

```
8
Lattice="3.888 0.000 0.000 0.000 3.888 0.000 1.944 1.944 9.166" Properties=species:S:1:pos:R:3 pbc="T T T"
Zn 1.136 2.916 2.292
Zn 2.752 0.972 2.292
Zn 2.916 3.081 6.875
Zn 4.860 4.696 6.875
In 3.888 1.944 4.583
In 0.000 0.000 0.000
Ni 1.944 3.888 4.583
Ni 1.944 1.944 0.000
```



Entry 4:
Below is an optimized crystal structure of PrSmAl, with properties calculated at the PBE level.

Excess energy over the best structure of this formula in the dataset, eV per atom: 0.000
Electronic total energy, eV for the cell shown: -27.8
Space group: Cmcm, No. 63
Energy of formation from the pure elements, eV/atom: -0.211

```
6
Lattice="-2.549 -3.858 -2.799 5.370 0.456 -0.299 0.659 -4.281 5.303" Properties=species:S:1:pos:R:3 pbc="T T T"
Pr 0.000 0.000 0.000
Pr 0.329 -2.141 2.651
Al 0.589 -5.633 2.010
Al 2.892 -2.051 0.195
Sm 3.227 -4.194 2.844
Sm 0.254 -3.490 -0.639
```



Entry 5:
Below is an optimized crystal structure of LiTiHg2, with properties calculated at the PBE level.

Electronic total energy, eV for the cell shown: -9.6
Space group: R-3m, No. 166
Energy of formation from the pure elements, eV/atom: 0.207

```
4
Lattice="-1.060 1.785 2.274 0.117 -0.987 2.914 9.054 4.488 2.782" Properties=species:S:1:pos:R:3 pbc="T T T"
Li 4.056 2.643 3.985
Hg 6.427 3.304 2.487
Hg 1.685 1.981 5.484
Ti 0.000 0.000 0.000
```



Entry 6:
Below is an optimized crystal structure of ScPtPb2, with properties calculated at the PBE level.

Excess energy over the best structure of this formula in the dataset, eV per atom: 0.147
Electronic total energy, eV for the cell shown: -21.2
Space group: R3m, No. 160
Energy of formation from the pure elements, eV/atom: -0.350

```
4
Lattice="9.161 -0.029 -0.017 8.443 3.555 -0.017 8.443 1.691 3.127" Properties=species:S:1:pos:R:3 pbc="T T T"
Pb 6.177 1.237 0.734
Pb 0.123 0.025 0.015
Pt 12.793 2.563 1.519
Sc 19.978 4.002 2.372
```



Entry 7:
Below is an optimized crystal structure of LaPrNd2Er4, with properties calculated at the PBE level.

Electronic total energy, eV for the cell shown: -74.7
Space group: C2/m, No. 12
Energy of formation from the pure elements, eV/atom: 0.015

```
16
Lattice="-0.573 6.378 -3.354 -1.065 -5.812 -10.882 -4.683 1.455 11.374" Properties=species:S:1:pos:R:3 pbc="T T T"
Er -3.283 -2.044 -3.324
Er -5.087 1.592 7.799
Er -2.757 0.876 2.144
Er -3.038 4.065 0.462
Er -5.376 4.777 6.128
Er -0.946 -2.756 -8.990
Er -1.234 0.430 -10.661
Er -3.566 1.144 -5.007
Nd -2.629 3.916 4.009
Nd -1.352 -2.622 -12.559
Nd -3.979 1.294 -8.550
Nd -0.820 0.283 -7.119
La -3.161 1.011 -1.431
La 0.000 0.000 0.001
Pr -3.448 4.199 -3.108
Pr -5.215 -1.450 5.932
```



Entry 8:
Below is an optimized crystal structure of KHfSeBr2, with properties calculated at the PBE level.

Excess energy over the best structure of this formula in the dataset, eV per atom: 0.000
Electronic total energy, eV for the cell shown: -23.8
Space group: P4/mmm, No. 123

```
5
Lattice="5.380 0.000 0.000 0.000 5.380 0.000 0.000 0.000 5.194" Properties=species:S:1:pos:R:3 pbc="T T T"
Br 2.690 0.000 0.000
Br 0.000 2.690 0.000
Hf 0.000 0.000 0.000
Se 0.000 0.000 2.597
K 2.690 2.690 2.597
```



Entry 9:
Below is an optimized crystal structure of PaCdAgRh, with properties calculated at the PBE level.

Electronic total energy, eV for the cell shown: -21.2
Space group: F-43m, No. 216
Energy of formation from the pure elements, eV/atom: -0.140

```
4
Lattice="4.863 0.000 0.000 2.432 4.212 0.000 2.432 1.404 3.971" Properties=species:S:1:pos:R:3 pbc="T T T"
Pa 2.432 1.404 0.993
Cd 7.295 4.212 2.978
Rh 4.863 2.808 1.985
Ag 0.000 0.000 0.000
```



Entry 10:
Below is an optimized crystal structure of In2OsPb, with properties calculated at the PBE level.

Electronic total energy, eV for the cell shown: -34.6
Space group: I-42d, No. 122
Energy of formation from the pure elements, eV/atom: 0.779

```
8
Lattice="4.297 0.000 0.000 0.000 4.297 0.000 2.149 2.149 10.058" Properties=species:S:1:pos:R:3 pbc="T T T"
In 3.223 3.344 7.544
In 1.195 3.223 2.515
In 5.372 5.251 7.544
In 3.102 1.074 2.515
Pb 0.000 0.000 0.000
Pb 4.297 2.149 5.029
Os 2.149 4.297 5.029
Os 2.149 2.149 0.000
```



Entry 11:
Below is an optimized crystal structure of Ca2YAg, with properties calculated at the PBE level.

Excess energy over the best structure of this formula in the dataset, eV per atom: 0.122
Electronic total energy, eV for the cell shown: -13.3
Space group: R3m, No. 160
Energy of formation from the pure elements, eV/atom: 0.003

```
4
Lattice="-3.689 -0.228 0.772 -1.878 -3.203 -0.689 0.385 -4.544 9.729" Properties=species:S:1:pos:R:3 pbc="T T T"
Y -2.594 -3.984 4.896
Ca -0.089 -3.825 7.677
Ca -1.381 -1.864 2.082
Ag -3.710 -2.290 0.063
```



Entry 12:
Below is an optimized crystal structure of BeZnAg2, with properties calculated at the PBE level.

Excess energy over the best structure of this formula in the dataset, eV per atom: 0.007
Electronic total energy, eV for the cell shown: -10.4
Space group: P4mm, No. 99
Energy of formation from the pure elements, eV/atom: 0.079

```
4
Lattice="2.963 0.000 0.000 0.000 2.963 0.000 0.000 0.000 6.619" Properties=species:S:1:pos:R:3 pbc="T T T"
Ag 0.000 0.000 6.496
Ag 1.481 1.481 1.958
Zn 1.481 1.481 4.706
Be 0.000 0.000 3.388
```